Density functional theory data (PBE-GGA) for a relaxed HfAsIrO crystal.

Output
distance to the lowest polymorph of the same formula = 536 meV per atom

Cell: 4.0985 4.9026 6.6151 Å, 90.00 90.00 90.00°
Closest atoms and distances in Å follow each position.
Element x y z (fractional)
As1 0.0000 0.7814 0.3262  3 Ir 2.49-2.65, 2 Hf 2.76
As2 0.0000 0.2186 0.8262  3 Ir 2.49-2.65, 2 Hf 2.76
Hf1 0.5000 0.3649 0.0838  2 O 2.06-2.07
Hf2 0.5000 0.6351 0.5838  2 O 2.06-2.07
Ir1 0.0000 0.2674 0.4519  2 O 2.09
Ir2 0.0000 0.7326 0.9519  2 O 2.09
O1 0.5000 0.3004 0.3921  2 Hf 2.06-2.07, 2 Ir 2.09
O2 0.5000 0.6996 0.8921  2 Hf 2.06-2.07, 2 Ir 2.09